Below is HI after structural relaxation, with properties calculated at the PBE-GGA level.

Geometry as CIF:
```
data_HI
_chemical_formula_sum 'H4 I4'
_cell_length_a 5.896
_cell_length_b 7.170
_cell_length_c 5.933
_cell_angle_alpha 90.00
_cell_angle_beta 90.00
_cell_angle_gamma 90.00
_symmetry_space_group_name_H-M 'A e m 2'
_symmetry_Int_Tables_number 39
_symmetry_space_group_name_Hall 'A 2 -2b'
loop_
_atom_site_label
_atom_site_type_symbol
_atom_site_fract_x
_atom_site_fract_y
_atom_site_fract_z
_atom_site_occupancy
H1 H 0.051 0.250 0.000 1
I1 I 0.255 0.250 0.195 1
```

Below is Er2Co12B7 after structural relaxation, with properties calculated at the PBE-GGA level.

Properties
Its formation energy is -352.0 meV/atom.

Geometry as CIF:
```
data_Er2Co12B7
_chemical_formula_sum 'Er2 Co12 B7'
_cell_length_a 8.4319
_cell_length_b 8.4319
_cell_length_c 3.3848
_cell_angle_alpha 90.00
_cell_angle_beta 90.00
_cell_angle_gamma 120.00
_symmetry_space_group_name_H-M 'P -6'
_symmetry_Int_Tables_number 174
_symmetry_space_group_name_Hall 'P -6'
loop_
_atom_site_label
_atom_site_type_symbol
_atom_site_fract_x
_atom_site_fract_y
_atom_site_fract_z
_atom_site_occupancy
Er1 Er 0.0000 0.0000 0.0000 1
Er2 Er 0.3333 0.6667 0.5000 1
Co1 Co 0.0363 0.2778 0.5000 1
Co2 Co 0.0999 0.7212 0.0000 1
Co3 Co 0.4544 0.2150 0.0000 1
Co4 Co 0.5117 0.4488 0.5000 1
B1 B 0.0564 0.4371 0.0000 1
B2 B 0.2616 0.2271 0.5000 1
B3 B 0.6667 0.3333 0.5000 1
```

Below is La2PmPr3Y6 after structural relaxation, with properties calculated at the PBE-GGA level.

Properties
Its formation energy is 7.6 meV/atom.

Geometry as CIF:
```
data_La2PmPr3Y6
_chemical_formula_sum 'La4 Pm2 Pr6 Y12'
_cell_length_a 6.331
_cell_length_b 10.966
_cell_length_c 11.934
_cell_angle_alpha 90.00
_cell_angle_beta 100.17
_cell_angle_gamma 90.00
_symmetry_space_group_name_H-M 'C 1 2/m 1'
_symmetry_Int_Tables_number 12
_symmetry_space_group_name_Hall '-C 2y'
loop_
_atom_site_label
_atom_site_type_symbol
_atom_site_fract_x
_atom_site_fract_y
_atom_site_fract_z
_atom_site_occupancy
La1 La 0.000 0.166 0.000 1
Pm1 Pm 0.000 0.500 0.000 1
Pr1 Pr 0.000 0.000 0.500 1
Pr2 Pr 0.000 0.334 0.500 1
Y1 Y 0.249 0.500 0.749 1
Y2 Y 0.250 0.166 0.750 1
```

Below is Li2Zn3Ag after structural relaxation, with properties calculated at the PBE-GGA level.

Properties
Its energy relative to the lowest polymorph listed for this composition is 0.00 eV per formula unit. Its formation energy is -174.5 meV/atom.

Geometry as CIF:
```
data_Li2Zn3Ag
_chemical_formula_sum 'Li8 Zn12 Ag4'
_cell_length_a 8.048
_cell_length_b 5.519
_cell_length_c 9.008
_cell_angle_alpha 90.00
_cell_angle_beta 115.84
_cell_angle_gamma 90.00
_symmetry_space_group_name_H-M 'C 1 2/c 1'
_symmetry_Int_Tables_number 15
_symmetry_space_group_name_Hall '-C 2yc'
loop_
_atom_site_label
_atom_site_type_symbol
_atom_site_fract_x
_atom_site_fract_y
_atom_site_fract_z
_atom_site_occupancy
Li1 Li 0.171 0.137 0.090 1
Zn1 Zn 0.000 0.396 0.250 1
Zn2 Zn 0.164 0.365 0.580 1
Ag1 Ag 0.000 0.105 0.750 1
```

Below is TmScFeAg after structural relaxation, with properties calculated at the PBE-GGA level.

Properties
Its formation energy is -64.6 meV/atom.

Geometry as CIF:
```
data_TmScFeAg
_chemical_formula_sum 'Tm4 Sc4 Fe4 Ag4'
_cell_length_a 6.711
_cell_length_b 6.711
_cell_length_c 6.711
_cell_angle_alpha 90.00
_cell_angle_beta 90.00
_cell_angle_gamma 90.00
_symmetry_space_group_name_H-M 'F -4 3 m'
_symmetry_Int_Tables_number 216
_symmetry_space_group_name_Hall 'F -4 2 3'
loop_
_atom_site_label
_atom_site_type_symbol
_atom_site_fract_x
_atom_site_fract_y
_atom_site_fract_z
_atom_site_occupancy
Tm1 Tm 0.000 0.000 0.000 1
Sc1 Sc 0.000 0.000 0.500 1
Fe1 Fe 0.250 0.250 0.750 1
Ag1 Ag 0.250 0.250 0.250 1
```

Below is Tm3MgAl12 after structural relaxation, with properties calculated at the PBE-GGA level.

Properties
Its formation energy is -295.1 meV/atom.

Geometry as CIF:
```
data_Tm3MgAl12
_chemical_formula_sum 'Tm3 Mg1 Al12'
_cell_length_a 4.199
_cell_length_b 4.199
_cell_length_c 16.852
_cell_angle_alpha 90.00
_cell_angle_beta 90.00
_cell_angle_gamma 90.00
_symmetry_space_group_name_H-M 'P 4/m m m'
_symmetry_Int_Tables_number 123
_symmetry_space_group_name_Hall '-P 4 2'
loop_
_atom_site_label
_atom_site_type_symbol
_atom_site_fract_x
_atom_site_fract_y
_atom_site_fract_z
_atom_site_occupancy
Tm1 Tm 0.000 0.000 0.000 1
Tm2 Tm 0.000 0.000 0.252 1
Mg1 Mg 0.000 0.000 0.500 1
Al1 Al 0.000 0.500 0.126 1
Al2 Al 0.000 0.500 0.381 1
Al3 Al 0.500 0.500 0.000 1
Al4 Al 0.500 0.500 0.251 1
Al5 Al 0.500 0.500 0.500 1
```

| no. | N(E_F) (states/eV per cell) | electronic total energy (eV per atom) |
| --- | --- | --- |
| 1 | 0.00 | -2.443 |
| 2 | 21.27 | -7.073 |
| 3 | 28.01 | -5.636 |
| 4 | 6.15 | -1.925 |
| 5 | 10.70 | -5.594 |
| 6 | 7.25 | -4.040 |